A PBEsol-optimized structure of Ba2AgRh. Source: Alexandria via LeMat-Bulk, functional SCAN.

Properties
- space group = No. 123
- M_tot (μB per atom) = 0.002
- VASP energy (eV per atom) = -36.185

a b c (Å): 3.765 3.765 8.037
angles (deg): 90.00 90.00 90.00
Fractional coordinates of all 4 atoms:
Rh1 0.500 0.500 0.000
Ba1 0.000 0.000 0.775
Ba2 0.000 0.000 0.225
Ag1 0.500 0.500 0.500